# 1
Nd8TcNi3Br4 after structural relaxation, computed with PBE.

## Properties
Total magnetic moment, Bohr magnetons per cell: 0.0
Uncorrected formation energy, eV/atom: -0.76

Unit cell a=8.1123 b=9.1402 c=8.1123 alpha=116.33 beta=120.00 gamma=90.00
Element x y z (fractional)
Br1 0.5000 0.0000 0.0000
Nd1 0.2701 0.3102 0.5403
Nd2 0.7679 0.3017 0.5359
Br2 0.5000 0.0000 0.5000
Ni1 0.5000 0.5000 0.5000
Br3 0.0000 0.0000 0.5000
Tc1 0.0000 0.5000 0.0000
Nd3 0.2323 0.6985 0.9662
Nd4 0.7677 0.3015 0.0338
Ni2 0.5000 0.5000 0.0000
Br4 0.0000 0.0000 0.0000
Nd5 0.7299 0.6898 0.4597
Nd6 0.2321 0.6983 0.4641
Nd7 0.7340 0.6985 0.9662
Nd8 0.2660 0.3015 0.0338
Ni3 0.0000 0.5000 0.5000


# 2
Sr2YCr after structural relaxation, computed with PBE.

## Properties
Total magnetic moment, Bohr magnetons per cell: 8.9
ΔE_f, eV/atom: 0.7434
E above lowest polymorph, eV per atom: 0.397

Unit cell a=9.3824 b=9.3824 c=7.4479 alpha=50.96 beta=50.96 gamma=90.00
Element x y z (fractional)
Y1 0.7500 0.2500 0.5000
Cr1 0.2500 0.7500 0.5000
Cr2 0.5000 0.5000 0.0000
Sr1 0.5759 0.1250 0.2500
Sr2 0.3750 0.4241 0.7500
Y2 0.0000 0.0000 0.0000
Sr3 0.1741 0.6250 0.2500
Sr4 0.8750 0.8259 0.7500


# 3
Li2VPAu after structural relaxation, computed with PBE.

## Properties
Total magnetic moment, Bohr magnetons per cell: 0.1
ΔE_f, eV/atom: 0.5402

Unit cell a=4.3677 b=4.9850 c=4.3677 alpha=90.00 beta=90.00 gamma=90.00
Element x y z (fractional)
P1 0.5000 0.5000 0.5000
V1 0.0000 0.5000 0.0000
Li1 0.0000 0.0000 0.5000
Au1 0.0000 0.0000 0.0000
Li2 0.5000 0.0000 0.0000


# 4
TbPb2BrO4 after structural relaxation, computed with PBE.

## Properties
Total magnetic moment, Bohr magnetons per cell: 0.0
Uncorrected formation energy, eV/atom: -1.67

Unit cell a=4.0012 b=4.0012 c=9.1969 alpha=90.00 beta=90.00 gamma=90.00
Element x y z (fractional)
O1 0.0000 0.5000 0.8561
Br1 0.0000 0.0000 0.5000
Pb1 0.5000 0.5000 0.2639
O2 0.5000 0.0000 0.8561
Pb2 0.5000 0.5000 0.7361
Tb1 0.0000 0.0000 0.0000
O3 0.5000 0.0000 0.1439
O4 0.0000 0.5000 0.1439


# 5
Re2GePb after structural relaxation, computed with PBE.

## Properties
Total magnetic moment, Bohr magnetons per cell: 0.0
ΔE_f, eV/atom: 0.8850
E above lowest polymorph, eV per atom: 0.000

Unit cell a=4.2218 b=4.2218 c=9.6628 alpha=77.38 beta=77.38 gamma=90.00
Element x y z (fractional)
Re1 0.8750 0.7789 0.7500
Ge1 0.5000 0.5000 0.0000
Ge2 0.2500 0.7500 0.5000
Pb1 0.0000 0.0000 0.0000
Re2 0.2211 0.6250 0.2500
Pb2 0.7500 0.2500 0.5000
Re3 0.5289 0.1250 0.2500
Re4 0.3750 0.4711 0.7500


# 6
BiTeRu2 after structural relaxation, computed with PBE.

## Properties
Total magnetic moment, Bohr magnetons per cell: 0.0
Uncorrected formation energy, eV/atom: 0.57
E above lowest polymorph, eV per atom: 0.136

Unit cell a=6.0013 b=6.0013 c=7.3148 alpha=65.78 beta=65.78 gamma=90.00
Element x y z (fractional)
Te1 0.5000 0.5000 0.0000
Ru1 0.3750 0.3928 0.7500
Bi1 0.0000 0.0000 0.0000
Bi2 0.7500 0.2500 0.5000
Ru2 0.8750 0.8572 0.7500
Ru3 0.1428 0.6250 0.2500
Ru4 0.6072 0.1250 0.2500
Te2 0.2500 0.7500 0.5000


# 7
Dy5Sn2Te2 after structural relaxation, computed with PBE.

## Properties
Total magnetic moment, Bohr magnetons per cell: 0.0
Uncorrected formation energy, eV/atom: -0.97
E above lowest polymorph, eV per atom: 0.000

Unit cell a=8.1241 b=8.0685 c=8.7042 alpha=117.61 beta=90.00 gamma=90.00
Element x y z (fractional)
Dy1 0.1635 0.2011 0.7317
Dy2 0.6635 0.0306 0.7317
Dy3 0.3365 0.7011 0.7317
Dy4 0.1635 0.4694 0.2683
Sn1 0.3638 0.1374 0.0000
Sn2 0.6362 0.8626 0.0000
Sn3 0.8638 0.3626 0.0000
Dy5 0.8365 0.5306 0.7317
Sn4 0.1362 0.6374 0.0000
Dy6 0.3365 0.9694 0.2683
Dy7 0.8365 0.7989 0.2683
Te1 0.0000 0.2021 0.4042
Te2 0.5000 0.2979 0.5958
Dy8 0.0000 0.0000 0.0000
Te3 0.0000 0.7979 0.5958
Te4 0.5000 0.7021 0.4042
Dy9 0.6635 0.2989 0.2683
Dy10 0.5000 0.5000 0.0000


# 8
BaTcBr2 after structural relaxation, computed with PBE.

## Properties
Total magnetic moment, Bohr magnetons per cell: 0.3
Uncorrected formation energy, eV/atom: 0.05
E above lowest polymorph, eV per atom: 0.421

Unit cell a=9.0530 b=9.0530 c=9.0530 alpha=26.21 beta=26.21 gamma=26.21
Element x y z (fractional)
Br1 0.1230 0.1230 0.1230
Br2 0.8770 0.8770 0.8770
Tc1 0.5000 0.5000 0.5000
Ba1 0.0000 0.0000 0.0000


# 9
SmPaTc2 after structural relaxation, computed with PBE.

## Properties
Total magnetic moment, Bohr magnetons per cell: 0.0
ΔE_f, eV/atom: -0.0195
E above lowest polymorph, eV per atom: 0.112

Unit cell a=4.8899 b=4.8899 c=4.8899 alpha=60.00 beta=60.00 gamma=60.00
Element x y z (fractional)
Pa1 0.0000 0.0000 0.0000
Tc1 0.2500 0.2500 0.2500
Tc2 0.7500 0.7500 0.7500
Sm1 0.5000 0.5000 0.5000


# 10
V3TcW2 after structural relaxation, computed with PBE.

## Properties
Total magnetic moment, Bohr magnetons per cell: 0.0
ΔE_f, eV/atom: -0.1904

Unit cell a=6.1390 b=6.8518 c=6.8518 alpha=143.13 beta=90.00 gamma=90.00
Element x y z (fractional)
Tc1 0.7196 0.0000 0.0000
V1 0.9696 0.8351 0.1648
W1 0.2196 0.3333 0.6667
W2 0.2196 0.6667 0.3333
Tc2 0.2196 0.0000 0.0000
V2 0.9696 0.1648 0.8351
V3 0.4696 0.5001 0.5001
V4 0.4696 0.8352 0.1649
V5 0.9696 0.4999 0.4999
V6 0.4696 0.1649 0.8352
W3 0.7196 0.3333 0.6667
W4 0.7196 0.6667 0.3333


# 11
As3PBr after structural relaxation, computed with PBE.

## Properties
Total magnetic moment, Bohr magnetons per cell: 0.0
Uncorrected formation energy, eV/atom: 0.73

Unit cell a=4.8731 b=4.8731 c=4.8731 alpha=90.00 beta=90.00 gamma=90.00
Element x y z (fractional)
As1 0.5000 0.0000 0.0000
P1 0.0000 0.0000 0.0000
Br1 0.5000 0.5000 0.5000
As2 0.0000 0.5000 0.0000
As3 0.0000 0.0000 0.5000


no.,VASP energy (eV for the cell shown)
1,-84.62
2,-32.95
3,-18.93
4,-46.91
5,-59.36
6,-46.55
7,-92.13
8,-15.42
9,-35.03
10,-129.54
11,-17.36